12
Lattice="2.496 -10.688 0.000 2.496 10.688 0.000 0.000 0.000 6.943" Properties=species:S:1:pos:R:3 comment="CaAcSn4, optimized geometry, DFT PBE" e_above_lowest_polymorph_mev_per_atom=0 total_energy_ev_per_atom=-4.187 dos_at_fermi_per_ev_cell=5.419 formation_enthalpy_0k_ev_per_atom=-0.500 pbc="T T T"
Ca 2.496 5.796 5.207
Ca 2.496 -5.796 1.736
Ac 2.496 8.916 1.736
Ac 2.496 -8.916 5.207
Sn 2.496 9.028 5.207
Sn 2.496 3.267 0.236
Sn 2.496 3.267 3.235
Sn 2.496 0.000 0.000
Sn 2.496 0.000 3.471
Sn 2.496 -3.267 3.708
Sn 2.496 -3.267 6.706
Sn 2.496 -9.028 1.736



10
Lattice="4.926 0.000 0.000 0.000 5.947 5.903 0.000 -5.947 5.903" Properties=species:S:1:pos:R:3 comment="Ca3Ac3Sn4, optimized geometry, DFT PBE" total_energy_ev_per_atom=-4.122 dos_at_fermi_per_ev_cell=5.732 formation_enthalpy_0k_ev_per_atom=-0.688 pbc="T T T"
Ca 0.000 0.000 0.000
Ca 2.463 -2.986 5.004
Ca 2.463 2.986 5.004
Ac 0.000 0.000 4.073
Ac 0.000 -2.081 7.970
Ac 0.000 2.081 7.970
Sn 2.463 -1.470 2.011
Sn 2.463 1.470 2.011
Sn 2.463 0.000 6.511
Sn 2.463 0.000 9.484



4
Lattice="5.357 0.000 0.000 0.000 5.357 0.000 0.000 0.000 5.062" Properties=species:S:1:pos:R:3 comment="CaAc2Sn, optimized geometry, DFT PBE" e_above_lowest_polymorph_mev_per_atom=9 total_energy_ev_per_atom=-3.892 dos_at_fermi_per_ev_cell=3.506 formation_enthalpy_0k_ev_per_atom=-0.337 pbc="T T T"
Ca 0.000 0.000 0.000
Ac 0.000 2.678 2.531
Ac 2.678 0.000 2.531
Sn 2.678 2.678 0.000



14
Lattice="7.764 0.000 0.000 0.000 16.492 0.000 -3.855 0.000 3.886" Properties=species:S:1:pos:R:3 comment="Ca2Ac2Sn3, optimized geometry, DFT PBE" total_energy_ev_per_atom=-4.020 dos_at_fermi_per_ev_cell=9.414 formation_enthalpy_0k_ev_per_atom=-0.558 pbc="T T T"
Ca 0.000 2.002 0.000
Ca 0.000 14.491 0.000
Ca 3.882 6.244 0.000
Ca 3.882 10.248 0.000
Ac 0.000 6.133 0.000
Ac 0.000 10.360 0.000
Ac 3.882 2.113 0.000
Ac 3.882 14.379 0.000
Sn -1.927 4.035 1.943
Sn -1.927 8.246 1.943
Sn -1.927 12.457 1.943
Sn 1.955 0.000 1.943
Sn 1.955 4.211 1.943
Sn 1.955 12.281 1.943



4
Lattice="4.063 0.000 0.000 0.000 4.063 0.000 0.000 0.000 7.570" Properties=species:S:1:pos:R:3 comment="CaAcSn2, optimized geometry, DFT PBE" total_energy_ev_per_atom=-4.121 dos_at_fermi_per_ev_cell=1.939 formation_enthalpy_0k_ev_per_atom=-0.592 pbc="T T T"
Ca 0.000 0.000 0.000
Ac 0.000 0.000 3.785
Sn 2.031 2.031 1.661
Sn 2.031 2.031 5.909



11
Lattice="14.575 -1.883 0.000 14.575 1.883 0.000 -0.103 0.000 7.680" Properties=species:S:1:pos:R:3 comment="Ca5Ac2Sn4, optimized geometry, DFT PBE" total_energy_ev_per_atom=-3.410 dos_at_fermi_per_ev_cell=9.957 formation_enthalpy_0k_ev_per_atom=-0.297 pbc="T T T"
Ca 0.000 0.000 0.000
Ca 7.652 0.000 1.921
Ca 10.687 0.000 6.193
Ca 18.361 0.000 1.487
Ca 21.396 0.000 5.759
Ac 11.793 0.000 2.423
Ac 17.255 0.000 5.257
Sn 5.074 0.000 3.776
Sn 13.785 0.000 5.132
Sn 15.263 0.000 2.548
Sn 23.974 0.000 3.904



20
Lattice="4.844 0.000 0.000 0.000 4.844 0.000 0.000 0.000 23.506" Properties=species:S:1:pos:R:3 comment="Ca4AcSn15, optimized geometry, DFT PBE" total_energy_ev_per_atom=-4.013 dos_at_fermi_per_ev_cell=8.645 formation_enthalpy_0k_ev_per_atom=-0.405 pbc="T T T"
Ca 0.000 0.000 2.320
Ca 0.000 0.000 6.968
Ca 0.000 0.000 16.538
Ca 0.000 0.000 21.186
Ac 0.000 0.000 11.753
Sn 0.000 2.422 0.000
Sn 0.000 2.422 4.637
Sn 0.000 2.422 9.252
Sn 0.000 2.422 14.254
Sn 0.000 2.422 18.869
Sn 2.422 0.000 0.000
Sn 2.422 0.000 4.637
Sn 2.422 0.000 9.252
Sn 2.422 0.000 14.254
Sn 2.422 0.000 18.869
Sn 2.422 2.422 2.325
Sn 2.422 2.422 6.965
Sn 2.422 2.422 11.753
Sn 2.422 2.422 16.541
Sn 2.422 2.422 21.181



12
Lattice="9.035 0.000 0.000 0.000 3.725 0.000 0.000 0.000 12.394" Properties=species:S:1:pos:R:3 comment="CaAcSn, optimized geometry, DFT PBE" e_above_lowest_polymorph_mev_per_atom=168 total_energy_ev_per_atom=-3.811 dos_at_fermi_per_ev_cell=8.523 formation_enthalpy_0k_ev_per_atom=-0.440 pbc="T T T"
Ca 0.723 0.931 1.581
Ca 3.795 2.794 7.779
Ca 5.240 0.931 4.616
Ca 8.312 2.794 10.813
Ac 1.454 0.931 5.084
Ac 3.064 2.794 11.281
Ac 5.971 0.931 1.113
Ac 7.581 2.794 7.311
Sn 1.230 0.931 8.676
Sn 3.287 2.794 2.478
Sn 5.748 0.931 9.916
Sn 7.804 2.794 3.719



12
Lattice="5.106 0.000 0.000 0.000 9.795 0.000 0.000 0.000 8.136" Properties=species:S:1:pos:R:3 comment="Ca3AcSn2, optimized geometry, DFT PBE" e_above_lowest_polymorph_mev_per_atom=0 total_energy_ev_per_atom=-3.632 dos_at_fermi_per_ev_cell=7.967 formation_enthalpy_0k_ev_per_atom=-0.613 pbc="T T T"
Ca 0.000 0.730 0.000
Ca 0.000 3.032 3.043
Ca 0.000 6.762 7.111
Ca 0.000 9.064 4.068
Ca 2.553 1.699 5.507
Ca 2.553 8.096 1.438
Ac 2.553 4.303 0.430
Ac 2.553 5.491 4.498
Sn 0.000 3.560 6.273
Sn 0.000 6.235 2.205
Sn 2.553 1.358 2.242
Sn 2.553 8.436 6.310



18
Lattice="10.031 0.000 0.000 0.000 10.031 0.000 0.000 0.000 6.845" Properties=species:S:1:pos:R:3 comment="CaAc4Sn4, optimized geometry, DFT PBE" total_energy_ev_per_atom=-4.342 dos_at_fermi_per_ev_cell=12.683 formation_enthalpy_0k_ev_per_atom=-0.515 pbc="T T T"
Ca 2.508 2.508 1.711
Ca 7.523 7.523 5.133
Ac 0.601 6.682 0.772
Ac 1.667 9.430 4.195
Ac 3.349 5.617 4.195
Ac 4.414 8.364 0.772
Ac 5.617 1.667 6.072
Ac 6.682 4.414 2.650
Ac 8.364 0.601 2.650
Ac 9.430 3.349 6.072
Sn 0.067 6.313 4.139
Sn 1.297 9.964 0.717
Sn 3.718 5.082 0.717
Sn 4.949 8.733 4.139
Sn 5.082 1.297 2.705
Sn 6.313 4.949 6.128
Sn 8.733 0.067 6.128
Sn 9.964 3.718 2.705



9
Lattice="6.114 -2.454 0.000 6.114 2.454 0.000 -0.607 0.000 10.515" Properties=species:S:1:pos:R:3 comment="Ca2Ac3Sn4, optimized geometry, DFT PBE" total_energy_ev_per_atom=-4.188 dos_at_fermi_per_ev_cell=6.206 formation_enthalpy_0k_ev_per_atom=-0.594 pbc="T T T"
Ca 1.969 0.000 2.902
Ca 9.652 0.000 7.613
Ac 1.023 0.000 9.327
Ac 5.811 0.000 5.258
Ac 10.598 0.000 1.189
Sn 1.987 0.000 6.065
Sn 4.618 0.000 9.288
Sn 7.003 0.000 1.227
Sn 9.634 0.000 4.451



6
Lattice="3.823 0.000 0.000 0.000 3.823 0.000 0.000 0.000 14.849" Properties=species:S:1:pos:R:3 comment="CaAcSn, optimized geometry, DFT PBE" e_above_lowest_polymorph_mev_per_atom=209 total_energy_ev_per_atom=-3.769 dos_at_fermi_per_ev_cell=5.083 formation_enthalpy_0k_ev_per_atom=-0.398 pbc="T T T"
Ca 0.000 0.000 0.000
Ca 1.912 1.912 7.425
Ac 0.000 0.000 4.219
Ac 1.912 1.912 11.643
Sn 0.000 0.000 9.404
Sn 1.912 1.912 1.979